VASP calculation (PBE) on Ce2SnC after structural relaxation.

It has space group Pnma (No. 62), with a = 6.951 Å, b = 5.168 Å, c = 10.161 Å, α = 90.00°, β = 90.00° and γ = 90.00°. The distinct sites, in fractional coordinates, are Ce at (0.059, 0.250, 0.217), Ce at (0.164, 0.250, 0.565), Sn at (0.191, 0.250, 0.890) and C at (0.127, 0.750, 0.584).

The density of states at the Fermi level comes out at 8.42 states/eV/f.u. Its formation energy is -1.6 eV per formula unit. For the energy, the calculation gives -106.9 eV per cell.